Entry 1:
VASP calculation (PBE-GGA) on a relaxed CeHo5In6 crystal.

```
data_CeHo5In6
_space_group_name_H-M_alt 'I m m m'
_space_group_IT_number 71
_space_group_name_Hall '-I 2 2'
_cell_length_a 5.329
_cell_length_b 7.502
_cell_length_c 16.035
_cell_angle_alpha 90.00
_cell_angle_beta 90.00
_cell_angle_gamma 90.00
loop_
_atom_site_label
_atom_site_type_symbol
_atom_site_fract_x
_atom_site_fract_y
_atom_site_fract_z
Ce1 Ce 0.000 0.000 0.000
Ho1 Ho 0.000 0.000 0.332
Ho2 Ho 0.000 0.500 0.000
Ho3 Ho 0.000 0.500 0.337
In1 In 0.000 0.238 0.500
In2 In 0.000 0.256 0.170
```

Properties
* ΔE_f: -5.19 eV per formula unit


Entry 2:
VASP calculation (PBE-GGA) on a relaxed Cd2InIO6 crystal.

```
data_Cd2InIO6
_space_group_name_H-M_alt 'R 3'
_space_group_IT_number 146
_space_group_name_Hall 'R 3'
_cell_length_a 5.7138
_cell_length_b 5.7138
_cell_length_c 14.6860
_cell_angle_alpha 90.00
_cell_angle_beta 90.00
_cell_angle_gamma 120.00
loop_
_atom_site_label
_atom_site_type_symbol
_atom_site_fract_x
_atom_site_fract_y
_atom_site_fract_z
Cd1 Cd 0.0000 0.0000 0.0000
Cd2 Cd 0.0000 0.0000 0.4960
In1 In 0.0000 0.0000 0.2220
I1 I 0.0000 0.0000 0.7178
O1 O 0.0544 0.3477 0.7888
O2 O 0.0620 0.6977 0.2923
```

Properties
* E_form (uncorrected): -0.8674 eV per atom


Entry 3:
VASP calculation (PBE-GGA) on a relaxed Cd2AsP crystal.

```
data_Cd2AsP
_space_group_name_H-M_alt 'P 1 2/m 1'
_space_group_IT_number 10
_cell_length_a 4.394
_cell_length_b 3.838
_cell_length_c 5.438
_cell_angle_alpha 90.00
_cell_angle_beta 109.67
_cell_angle_gamma 90.00
loop_
_space_group_symop_operation_xyz
'x,y,z'
'-x,-y,-z'
'-x,y,-z'
'x,-y,z'
loop_
_atom_site_label
_atom_site_type_symbol
_atom_site_fract_x
_atom_site_fract_y
_atom_site_fract_z
Cd1 Cd 0.227 0.000 0.260
As1 As 0.500 0.500 0.000
P1 P 0.000 0.500 0.500
```

Properties
* ΔE_f: 0.87 eV per formula unit
* E above lowest polymorph: 0.141 eV per atom


Entry 4:
VASP calculation (PBE-GGA) on a relaxed NaScSeO2 crystal.

```
data_NaScSeO2
_space_group_name_H-M_alt 'P 4/m m m'
_space_group_IT_number 123
_space_group_name_Hall '-P 4 2'
_cell_length_a 4.330
_cell_length_b 4.330
_cell_length_c 4.923
_cell_angle_alpha 90.00
_cell_angle_beta 90.00
_cell_angle_gamma 90.00
loop_
_atom_site_label
_atom_site_type_symbol
_atom_site_fract_x
_atom_site_fract_y
_atom_site_fract_z
Na1 Na 0.000 0.000 0.000
Sc1 Sc 0.500 0.500 0.000
Se1 Se 0.500 0.500 0.500
O1 O 0.000 0.500 0.500
```

Properties
* E_form (uncorrected): -0.0776 eV per atom


Entry 5:
VASP calculation (PBE-GGA) on a relaxed Y2MnMo crystal.

```
data_Y2MnMo
_space_group_name_H-M_alt 'F m -3 m'
_space_group_IT_number 225
_space_group_name_Hall '-F 4 2 3'
_cell_length_a 7.058
_cell_length_b 7.058
_cell_length_c 7.058
_cell_angle_alpha 90.00
_cell_angle_beta 90.00
_cell_angle_gamma 90.00
loop_
_atom_site_label
_atom_site_type_symbol
_atom_site_fract_x
_atom_site_fract_y
_atom_site_fract_z
Y1 Y 0.250 0.250 0.250
Mn1 Mn 0.000 0.000 0.000
Mo1 Mo 0.000 0.000 0.500
```

Properties
* ΔE_f: 1.62 eV per formula unit
* E above lowest polymorph: 0.236 eV per atom


Entry 6:
VASP calculation (PBE-GGA) on a relaxed Ac3Cd2Au8 crystal.

```
data_Ac3Cd2Au8
_space_group_name_H-M_alt 'R -3 m'
_space_group_IT_number 166
_space_group_name_Hall '-R 3 2"'
_cell_length_a 5.6732
_cell_length_b 5.6732
_cell_length_c 37.1896
_cell_angle_alpha 90.00
_cell_angle_beta 90.00
_cell_angle_gamma 120.00
loop_
_atom_site_label
_atom_site_type_symbol
_atom_site_fract_x
_atom_site_fract_y
_atom_site_fract_z
Ac1 Ac 0.0000 0.0000 0.0000
Ac2 Ac 0.0000 0.0000 0.2374
Cd1 Cd 0.0000 0.0000 0.3947
Au1 Au 0.0000 0.0000 0.3200
Au2 Au 0.0047 0.5023 0.8000
```

Properties
* ΔE_f: -5.62 eV per formula unit


Entry 7:
VASP calculation (PBE-GGA) on a relaxed BeInBi2Te crystal.

```
data_BeInBi2Te
_space_group_name_H-M_alt 'P 4/m m m'
_space_group_IT_number 123
_space_group_name_Hall '-P 4 2'
_cell_length_a 5.892
_cell_length_b 5.892
_cell_length_c 6.085
_cell_angle_alpha 90.00
_cell_angle_beta 90.00
_cell_angle_gamma 90.00
loop_
_atom_site_label
_atom_site_type_symbol
_atom_site_fract_x
_atom_site_fract_y
_atom_site_fract_z
Be1 Be 0.000 0.000 0.000
In1 In 0.500 0.500 0.000
Bi1 Bi 0.000 0.500 0.500
Te1 Te 0.500 0.500 0.500
```

Properties
* E_form (uncorrected): 1.1238 eV per atom


Entry 8:
VASP calculation (PBE-GGA) on a relaxed DyYInCo crystal.

```
data_DyYInCo
_space_group_name_H-M_alt 'F -4 3 m'
_space_group_IT_number 216
_space_group_name_Hall 'F -4 2 3'
_cell_length_a 7.202
_cell_length_b 7.202
_cell_length_c 7.202
_cell_angle_alpha 90.00
_cell_angle_beta 90.00
_cell_angle_gamma 90.00
loop_
_atom_site_label
_atom_site_type_symbol
_atom_site_fract_x
_atom_site_fract_y
_atom_site_fract_z
Dy1 Dy 0.000 0.000 0.000
Y1 Y 0.000 0.000 0.500
In1 In 0.250 0.250 0.250
Co1 Co 0.250 0.250 0.750
```

Properties
* ΔE_f: -0.83 eV per formula unit


Entry 9:
VASP calculation (PBE-GGA) on a relaxed TbY3Tm2Te6 crystal.

```
data_TbY3Tm2Te6
_space_group_name_H-M_alt 'C 1 2/m 1'
_space_group_IT_number 12
_cell_length_a 18.963
_cell_length_b 4.325
_cell_length_c 8.734
_cell_angle_alpha 90.00
_cell_angle_beta 103.49
_cell_angle_gamma 90.00
loop_
_space_group_symop_operation_xyz
'x,y,z'
'-x,-y,-z'
'-x,y,-z'
'x,-y,z'
'x+1/2,y+1/2,z'
'-x+1/2,-y+1/2,-z'
'-x+1/2,y+1/2,-z'
'x+1/2,-y+1/2,z'
loop_
_atom_site_label
_atom_site_type_symbol
_atom_site_fract_x
_atom_site_fract_y
_atom_site_fract_z
Tb1 Tb 0.000 0.000 0.000
Y1 Y 0.000 0.000 0.500
Y2 Y 0.163 0.500 0.833
Tm1 Tm 0.165 0.500 0.330
Te1 Te 0.002 0.500 0.252
Te2 Te 0.169 0.000 0.088
Te3 Te 0.169 0.000 0.580
```

Properties
* E_form (uncorrected): -1.2637 eV per atom


Entry 10:
VASP calculation (PBE-GGA) on a relaxed Ho2TcAu crystal.

```
data_Ho2TcAu
_space_group_name_H-M_alt 'P 4/m m m'
_space_group_IT_number 123
_space_group_name_Hall '-P 4 2'
_cell_length_a 3.475
_cell_length_b 3.475
_cell_length_c 7.098
_cell_angle_alpha 90.00
_cell_angle_beta 90.00
_cell_angle_gamma 90.00
loop_
_atom_site_label
_atom_site_type_symbol
_atom_site_fract_x
_atom_site_fract_y
_atom_site_fract_z
Ho1 Ho 0.000 0.000 0.230
Tc1 Tc 0.500 0.500 0.000
Au1 Au 0.500 0.500 0.500
```

Properties
* ΔE_f: -1.83 eV per formula unit


Entry 11:
VASP calculation (PBE-GGA) on a relaxed SnSbCl5 crystal.

```
data_SnSbCl5
_space_group_name_H-M_alt 'P 1 21/c 1'
_space_group_IT_number 14
_cell_length_a 7.294
_cell_length_b 13.881
_cell_length_c 10.939
_cell_angle_alpha 90.00
_cell_angle_beta 100.21
_cell_angle_gamma 90.00
loop_
_space_group_symop_operation_xyz
'x,y,z'
'-x,-y,-z'
'-x,y+1/2,-z+1/2'
'x,-y+1/2,z+1/2'
loop_
_atom_site_label
_atom_site_type_symbol
_atom_site_fract_x
_atom_site_fract_y
_atom_site_fract_z
Sn1 Sn 0.157 0.249 0.161
Sb1 Sb 0.343 0.525 0.317
Cl1 Cl 0.034 0.118 0.284
Cl2 Cl 0.177 0.142 0.864
Cl3 Cl 0.335 0.029 0.608
Cl4 Cl 0.350 0.546 0.609
Cl5 Cl 0.497 0.698 0.268
```

Properties
* E_form (uncorrected): -0.9059 eV per atom
* E above lowest polymorph: 0.000 eV per atom


Entry 12:
VASP calculation (PBE-GGA) on a relaxed ScInSeF2 crystal.

```
data_ScInSeF2
_space_group_name_H-M_alt 'P 4/m m m'
_space_group_IT_number 123
_space_group_name_Hall '-P 4 2'
_cell_length_a 4.269
_cell_length_b 4.269
_cell_length_c 5.398
_cell_angle_alpha 90.00
_cell_angle_beta 90.00
_cell_angle_gamma 90.00
loop_
_atom_site_label
_atom_site_type_symbol
_atom_site_fract_x
_atom_site_fract_y
_atom_site_fract_z
Sc1 Sc 0.000 0.000 0.000
In1 In 0.500 0.500 0.500
Se1 Se 0.000 0.000 0.500
F1 F 0.000 0.500 0.000
```

Properties
* E_form (uncorrected): -2.3098 eV per atom


Entry 13:
VASP calculation (PBE-GGA) on a relaxed Cu3H2C2O8 crystal.

```
data_Cu3H2C2O8
_space_group_name_H-M_alt 'P 1 21/c 1'
_space_group_IT_number 14
_cell_length_a 5.089
_cell_length_b 6.002
_cell_length_c 10.517
_cell_angle_alpha 90.00
_cell_angle_beta 93.01
_cell_angle_gamma 90.00
loop_
_space_group_symop_operation_xyz
'x,y,z'
'-x,-y,-z'
'-x,y+1/2,-z+1/2'
'x,-y+1/2,z+1/2'
loop_
_atom_site_label
_atom_site_type_symbol
_atom_site_fract_x
_atom_site_fract_y
_atom_site_fract_z
Cu1 Cu 0.000 0.000 0.000
Cu2 Cu 0.252 0.001 0.584
H1 H 0.177 0.702 0.874
C1 C 0.336 0.193 0.819
O1 O 0.068 0.690 0.949
O2 O 0.118 0.085 0.833
O3 O 0.434 0.198 0.708
O4 O 0.452 0.206 0.416
```

Properties
* VASP energy: -6.100 eV/atom


Entry 14:
VASP calculation (PBE-GGA) on a relaxed CaZnCd2Ni crystal.

```
data_CaZnCd2Ni
_space_group_name_H-M_alt 'P 4/m m m'
_space_group_IT_number 123
_space_group_name_Hall '-P 4 2'
_cell_length_a 4.977
_cell_length_b 4.977
_cell_length_c 4.657
_cell_angle_alpha 90.00
_cell_angle_beta 90.00
_cell_angle_gamma 90.00
loop_
_atom_site_label
_atom_site_type_symbol
_atom_site_fract_x
_atom_site_fract_y
_atom_site_fract_z
Ca1 Ca 0.000 0.000 0.000
Zn1 Zn 0.500 0.500 0.000
Cd1 Cd 0.000 0.500 0.500
Ni1 Ni 0.500 0.500 0.500
```

Properties
* ΔE_f: -0.47 eV per formula unit


Entry 15:
VASP calculation (PBE-GGA) on a relaxed BaSrEuCu3O7 crystal.

```
data_BaSrEuCu3O7
_space_group_name_H-M_alt 'P m m 2'
_space_group_IT_number 25
_cell_length_a 3.801
_cell_length_b 3.913
_cell_length_c 11.800
_cell_angle_alpha 90.00
_cell_angle_beta 90.00
_cell_angle_gamma 90.00
loop_
_space_group_symop_operation_xyz
'x,y,z'
'-x,-y,z'
'-x,y,z'
'x,-y,z'
loop_
_atom_site_label
_atom_site_type_symbol
_atom_site_fract_x
_atom_site_fract_y
_atom_site_fract_z
Ba1 Ba 0.000 0.000 0.000
Sr1 Sr 0.000 0.000 0.358
Eu1 Eu 0.000 0.000 0.674
Cu1 Cu 0.500 0.500 0.183
Cu2 Cu 0.500 0.500 0.519
Cu3 Cu 0.500 0.500 0.829
O1 O 0.000 0.500 0.546
O2 O 0.000 0.500 0.803
O3 O 0.500 0.000 0.193
O4 O 0.500 0.000 0.542
O5 O 0.500 0.000 0.805
O6 O 0.500 0.500 0.024
O7 O 0.500 0.500 0.341
```

Properties
* E_form (uncorrected): -1.6749 eV per atom


Entry 16:
VASP calculation (PBE-GGA) on a relaxed BaSbAu crystal.

```
data_BaSbAu
_space_group_name_H-M_alt 'C 1 2/m 1'
_space_group_IT_number 12
_cell_length_a 13.085
_cell_length_b 4.641
_cell_length_c 6.617
_cell_angle_alpha 90.00
_cell_angle_beta 99.79
_cell_angle_gamma 90.00
loop_
_space_group_symop_operation_xyz
'x,y,z'
'-x,-y,-z'
'-x,y,-z'
'x,-y,z'
'x+1/2,y+1/2,z'
'-x+1/2,-y+1/2,-z'
'-x+1/2,y+1/2,-z'
'x+1/2,-y+1/2,z'
loop_
_atom_site_label
_atom_site_type_symbol
_atom_site_fract_x
_atom_site_fract_y
_atom_site_fract_z
Ba1 Ba 0.110 0.000 0.303
Sb1 Sb 0.112 0.500 0.731
Au1 Au 0.210 0.000 0.876
```

Properties
* E_form (uncorrected): -0.7331 eV per atom


Entry 17:
VASP calculation (PBE-GGA) on a relaxed Tb5Pm7 crystal.

```
data_Tb5Pm7
_space_group_name_H-M_alt 'C 1 2/m 1'
_space_group_IT_number 12
_cell_length_a 9.689
_cell_length_b 5.837
_cell_length_c 14.791
_cell_angle_alpha 90.00
_cell_angle_beta 103.95
_cell_angle_gamma 90.00
loop_
_space_group_symop_operation_xyz
'x,y,z'
'-x,-y,-z'
'-x,y,-z'
'x,-y,z'
'x+1/2,y+1/2,z'
'-x+1/2,-y+1/2,-z'
'-x+1/2,y+1/2,-z'
'x+1/2,-y+1/2,z'
loop_
_atom_site_label
_atom_site_type_symbol
_atom_site_fract_x
_atom_site_fract_y
_atom_site_fract_z
Tb1 Tb 0.000 0.000 0.000
Tb2 Tb 0.125 0.500 0.800
Tb3 Tb 0.139 0.000 0.439
Pm1 Pm 0.000 0.500 0.500
Pm2 Pm 0.038 0.000 0.213
Pm3 Pm 0.180 0.500 0.083
Pm4 Pm 0.242 0.000 0.671
```

Properties
* ΔE_f: 2.04 eV per formula unit
* E above lowest polymorph: 0.164 eV per atom


Entry 18:
VASP calculation (PBE-GGA) on a relaxed KS2IN crystal.

```
data_KS2IN
_space_group_name_H-M_alt 'P 4/m m m'
_space_group_IT_number 123
_space_group_name_Hall '-P 4 2'
_cell_length_a 6.125
_cell_length_b 6.125
_cell_length_c 5.423
_cell_angle_alpha 90.00
_cell_angle_beta 90.00
_cell_angle_gamma 90.00
loop_
_atom_site_label
_atom_site_type_symbol
_atom_site_fract_x
_atom_site_fract_y
_atom_site_fract_z
K1 K 0.000 0.000 0.000
S1 S 0.000 0.500 0.000
I1 I 0.500 0.500 0.500
N1 N 0.000 0.000 0.500
```

Properties
* E_form (uncorrected): 1.5611 eV per atom
* E above lowest polymorph: 0.832 eV per atom


Entry 19:
VASP calculation (PBE-GGA) on a relaxed CaSm4Tl4 crystal.

```
data_CaSm4Tl4
_space_group_name_H-M_alt 'P 42/n'
_space_group_IT_number 86
_cell_length_a 9.659
_cell_length_b 9.659
_cell_length_c 6.473
_cell_angle_alpha 90.00
_cell_angle_beta 90.00
_cell_angle_gamma 90.00
loop_
_space_group_symop_operation_xyz
'x,y,z'
'-x,-y,-z'
'-y,x+1/2,z+1/2'
'y,-x+1/2,-z+1/2'
'-x+1/2,-y+1/2,z'
'x+1/2,y+1/2,-z'
'y+1/2,-x,z+1/2'
'-y+1/2,x,-z+1/2'
loop_
_atom_site_label
_atom_site_type_symbol
_atom_site_fract_x
_atom_site_fract_y
_atom_site_fract_z
Ca1 Ca 0.250 0.250 0.250
Sm1 Sm 0.054 0.655 0.138
Tl1 Tl 0.031 0.634 0.626
```

Properties
* ΔE_f: -1.37 eV per formula unit


Entry 20:
VASP calculation (PBE-GGA) on a relaxed HoTlAgRh crystal.

```
data_HoTlAgRh
_space_group_name_H-M_alt 'F -4 3 m'
_space_group_IT_number 216
_space_group_name_Hall 'F -4 2 3'
_cell_length_a 6.866
_cell_length_b 6.866
_cell_length_c 6.866
_cell_angle_alpha 90.00
_cell_angle_beta 90.00
_cell_angle_gamma 90.00
loop_
_atom_site_label
_atom_site_type_symbol
_atom_site_fract_x
_atom_site_fract_y
_atom_site_fract_z
Ho1 Ho 0.000 0.000 0.000
Tl1 Tl 0.000 0.000 0.500
Ag1 Ag 0.250 0.250 0.250
Rh1 Rh 0.250 0.250 0.750
```

Properties
* ΔE_f: -1.22 eV per formula unit